No. 1
TbCu4Pd, optimized geometry, DFT PBE; crystal system = cubic; SG = F-43m, No. 216; ΔE_f = -2.1 eV/f.u.
1.0
-3.381 -3.310 1.613
-4.842 0.656 -1.055
-2.282 -3.031 -3.255
Cu Tb Pd
4 1 1
direct
0.876 0.372 0.876
0.876 0.876 0.372
0.876 0.876 0.876
0.372 0.876 0.876
0.500 0.500 0.500
0.250 0.250 0.250

No. 2
TbCuPd, optimized geometry, DFT PBE; crystal system = cubic; SG = F-43m, No. 216; ΔE_f = -1.2 eV/f.u.
1.0
-0.896 -4.391 -0.364
-3.670 -1.370 -2.207
0.405 -2.055 -3.978
Cu Tb Pd
1 1 1
direct
0.500 0.500 0.500
0.000 0.000 0.000
0.250 0.250 0.250

No. 3
Tb2CuPd, optimized geometry, DFT PBE; crystal system = monoclinic; SG = P2_1/m, No. 11; ΔE_f = -2.4 eV/f.u.
1.0
5.544 0.000 0.000
0.000 4.564 0.000
-2.516 0.000 7.042
Cu Tb Pd
2 4 2
direct
0.156 0.250 0.791
0.844 0.750 0.209
0.277 0.750 0.568
0.722 0.250 0.930
0.278 0.750 0.070
0.723 0.250 0.432
0.157 0.250 0.287
0.843 0.750 0.713

No. 4
Tb2CuPd, optimized geometry, DFT PBE; crystal system = orthorhombic; SG = Amm2, No. 38; ΔE_f = -2.4 eV/f.u.
1.0
4.529 0.000 0.000
0.000 1.875 5.238
0.000 -1.875 5.238
Pd Cu Tb
1 1 2
direct
0.500 0.421 0.421
0.000 0.579 0.579
0.500 0.139 0.139
0.000 0.861 0.861

No. 5
Tb2TlCuPd, optimized geometry, DFT PBE; crystal system = orthorhombic; SG = Amm2, No. 38
1.0
-2.032 -1.856 2.456
5.384 -5.412 0.365
6.377 -2.615 3.300
Tb Tl Pd Cu
2 1 1 1
direct
0.500 0.633 0.633
0.500 0.365 0.365
0.000 0.998 0.998
0.000 0.199 0.199
0.000 0.804 0.804

No. 6
Cu2TcPd, optimized geometry, DFT PBE; crystal system = cubic; SG = F-43m, No. 216; ΔE_f = 1.3 eV/f.u.
1.0
-4.022 -0.967 1.039
-1.178 -0.104 4.099
-2.586 3.016 1.553
Pd Cu Tc
1 2 1
direct
0.250 0.250 0.250
0.500 0.500 0.500
0.750 0.750 0.750
0.000 0.000 0.000

Number 1: calculated volume 88 Å³/f.u., E -26.8 eV/cell. Number 2: calculated volume 64 Å³/f.u., E -14.7 eV/cell. Number 3: calculated volume 89 Å³/f.u., E -41.1 eV/cell. Number 4: calculated volume 89 Å³/f.u., E -20.5 eV/cell. Number 5: calculated volume 113 Å³/f.u., E -23.3 eV/cell. Number 6: calculated volume 55 Å³/f.u., E -21.7 eV/cell.